Computed, not measured: ThBiB4 after structural relaxation at the GGA-PBE level of DFT.

The structure in POSCAR format:
```
ThBiB4
1.0
3.2943 0.0000 0.0000
-1.6471 2.8529 0.0000
0.0000 0.0000 8.5081
Th Bi B
1 1 4
direct
0.0000 0.0000 0.0000
0.0000 0.0000 0.5000
0.3333 0.6667 0.2422
0.3333 0.6667 0.7578
0.6667 0.3333 0.2422
0.6667 0.3333 0.7578
```

Properties
total moment: 0.00 Bohr magnetons per cell
distance to the lowest polymorph of the same formula: 65 meV/atom